A plane-wave DFT calculation with PBE+U was carried out for a relaxed structure of CsFe5Mo7O28.

Cell lengths 7.0260, 21.8914, 8.9443 Å; angles 90.00, 102.46, 90.00 degrees
Closest atoms and distances in Å follow each position.
Positions (direct):
Cs (0.0010, 0.2500, 0.4659)  5 O 2.94-3.12
Cs (0.9990, 0.7500, 0.5341)  5 O 2.94-3.12
Fe (0.1514, 0.1009, 0.1544)  6 O 1.99-2.09
Fe (0.1514, 0.3991, 0.1544)  6 O 1.99-2.09
Fe (0.4612, 0.7500, 0.1938)  6 O 1.99-2.06
Fe (0.4790, 0.5005, 0.3114)  6 O 2.04-2.28
Fe (0.4790, 0.9995, 0.3114)  6 O 2.04-2.28
Fe (0.5210, 0.0005, 0.6886)  6 O 2.04-2.28
Fe (0.5210, 0.4995, 0.6886)  6 O 2.04-2.28
Fe (0.5388, 0.2500, 0.8062)  6 O 1.99-2.06
Fe (0.8486, 0.6009, 0.8456)  6 O 1.99-2.09
Fe (0.8486, 0.8991, 0.8456)  6 O 1.99-2.09
Mo (0.0256, 0.0401, 0.7527)  4 O 1.73-1.88
Mo (0.0256, 0.4599, 0.7527)  4 O 1.73-1.88
Mo (0.0807, 0.2500, 0.9306)  4 O 1.79-1.80
Mo (0.3809, 0.6097, 0.9563)  4 O 1.76-1.85
Mo (0.3809, 0.8903, 0.9563)  4 O 1.76-1.85
Mo (0.4853, 0.1424, 0.4728)  4 O 1.74-1.83
Mo (0.4853, 0.3576, 0.4728)  4 O 1.74-1.83
Mo (0.5147, 0.6424, 0.5272)  4 O 1.74-1.83
Mo (0.5147, 0.8576, 0.5272)  4 O 1.74-1.83
Mo (0.6191, 0.1097, 0.0437)  4 O 1.76-1.85
Mo (0.6191, 0.3903, 0.0437)  4 O 1.76-1.85
Mo (0.9193, 0.7500, 0.0694)  4 O 1.79-1.80
Mo (0.9744, 0.5401, 0.2473)  4 O 1.73-1.88
Mo (0.9744, 0.9599, 0.2473)  4 O 1.73-1.88
O (0.0594, 0.6066, 0.3447)  1 Mo 1.73
O (0.0594, 0.8934, 0.3447)  1 Mo 1.73
O (0.1029, 0.0595, 0.9522)  1 Mo 1.80, 1 Fe 1.99
O (0.1029, 0.4405, 0.9522)  1 Mo 1.80, 1 Fe 1.99
O (0.1268, 0.1832, 0.0482)  1 Mo 1.79
O (0.1268, 0.3168, 0.0482)  1 Mo 1.79
O (0.1332, 0.6026, 0.8493)  1 Mo 1.80, 1 Fe 1.99
O (0.1332, 0.8974, 0.8493)  1 Mo 1.80, 1 Fe 1.99
O (0.1668, 0.7500, 0.1792)  1 Mo 1.80
O (0.1741, 0.0187, 0.2696)  1 Mo 1.88, 1 Fe 2.06
O (0.1741, 0.4813, 0.2696)  1 Mo 1.88, 1 Fe 2.06
O (0.2328, 0.0133, 0.6847)  1 Mo 1.79
O (0.2328, 0.4867, 0.6847)  1 Mo 1.79
O (0.2409, 0.1468, 0.3507)  1 Mo 1.83, 1 Fe 2.00
O (0.2409, 0.3532, 0.3507)  1 Mo 1.83, 1 Fe 2.00
O (0.2437, 0.2500, 0.8013)  1 Mo 1.79
O (0.3516, 0.6747, 0.6257)  1 Mo 1.74
O (0.3516, 0.8253, 0.6257)  1 Mo 1.74
O (0.4069, 0.5624, 0.1183)  1 Mo 1.76
O (0.4069, 0.9376, 0.1183)  1 Mo 1.76
O (0.4283, 0.6863, 0.0241)  1 Mo 1.79
O (0.4283, 0.8137, 0.0241)  1 Mo 1.79
O (0.4454, 0.0837, 0.1585)  1 Mo 1.85
O (0.4454, 0.4163, 0.1585)  1 Mo 1.85
O (0.4635, 0.5615, 0.4924)  1 Mo 1.82
O (0.4635, 0.9385, 0.4924)  1 Mo 1.82
O (0.4886, 0.1850, 0.6471)  1 Mo 1.81, 1 Fe 1.99
O (0.4886, 0.3150, 0.6471)  1 Mo 1.81, 1 Fe 1.99
O (0.5114, 0.6850, 0.3529)  1 Mo 1.81, 1 Fe 1.99
O (0.5114, 0.8150, 0.3529)  1 Mo 1.81, 1 Fe 1.99
O (0.5365, 0.0615, 0.5076)  1 Mo 1.82
O (0.5365, 0.4385, 0.5076)  1 Mo 1.82
O (0.5546, 0.5837, 0.8415)  1 Mo 1.85
O (0.5546, 0.9163, 0.8415)  1 Mo 1.85
O (0.5717, 0.1863, 0.9759)  1 Mo 1.79
O (0.5717, 0.3137, 0.9759)  1 Mo 1.79
O (0.5931, 0.0624, 0.8817)  1 Mo 1.76
O (0.5931, 0.4376, 0.8817)  1 Mo 1.76
O (0.6484, 0.1747, 0.3743)  1 Mo 1.74
O (0.6484, 0.3253, 0.3743)  1 Mo 1.74
O (0.7563, 0.7500, 0.1987)  1 Mo 1.79
O (0.7591, 0.6468, 0.6493)  1 Mo 1.83, 1 Fe 2.00
O (0.7591, 0.8532, 0.6493)  1 Mo 1.83, 1 Fe 2.00
O (0.7672, 0.5133, 0.3153)  1 Mo 1.79
O (0.7672, 0.9867, 0.3153)  1 Mo 1.79
O (0.8259, 0.5187, 0.7304)  1 Mo 1.88, 1 Fe 2.06
O (0.8259, 0.9813, 0.7304)  1 Mo 1.88, 1 Fe 2.06
O (0.8332, 0.2500, 0.8208)  1 Mo 1.80
O (0.8668, 0.1026, 0.1507)  1 Mo 1.80, 1 Fe 1.99
O (0.8668, 0.3974, 0.1507)  1 Mo 1.80, 1 Fe 1.99
O (0.8732, 0.6832, 0.9518)  1 Mo 1.79
O (0.8732, 0.8168, 0.9518)  1 Mo 1.79
O (0.8971, 0.5595, 0.0478)  1 Mo 1.80, 1 Fe 1.99
O (0.8971, 0.9405, 0.0478)  1 Mo 1.80, 1 Fe 1.99
O (0.9406, 0.1066, 0.6553)  1 Mo 1.73
O (0.9406, 0.3934, 0.6553)  1 Mo 1.73

Values from the calculation:
**Space group**: P2_1/m
**Energy**: -6.91 eV per atom
**V**: 16.38 Å³ per atom